Entry 1:
A plane-wave DFT calculation with PBEsol was carried out for Tl3Pt after structural relaxation.

Values from the calculation:
Total moment: 0.00 Bohr magnetons per cell
Mass density: 14.45 g/cm³
Distance to the lowest polymorph of the same formula: 140 meV per atom
Energy relative to the elements: 0.1658 eV/atom

Cell: 7.1892 7.1892 7.1892 Å, 90.00 90.00 90.00°
Space group Fm-3m (No. 225)
Unique sites:
Tl 0.0000 0.0000 0.0000 x4
Tl 0.2500 0.2500 0.2500 x8
Pt 0.0000 0.0000 0.5000 x4



Entry 2:
A plane-wave DFT calculation with PBEsol was carried out for Tl2Pt after structural relaxation.

Values from the calculation:
Total moment: 0.00 Bohr magnetons per cell
Mass density: 13.12 g/cm³
Energy relative to the elements: 0.0095 eV/atom

Cell: 6.2044 6.8616 3.5914 Å, 90.00 90.00 90.00°
Space group Pnnm (No. 58)
Unique sites:
Tl 0.2167 0.1595 0.0000 x4
Pt 0.0000 0.5000 0.0000 x2



Entry 3:
A plane-wave DFT calculation with PBEsol was carried out for TlPt3 after structural relaxation.

Values from the calculation:
Total moment: 0.00 Bohr magnetons per cell
Mass density: 19.87 g/cm³
Energy relative to the elements: 0.0717 eV/atom

Cell: 2.8803 9.5357 4.8064 Å, 90.00 90.00 90.00°
Space group Imm2 (No. 44)
Unique sites:
Tl 0.0000 0.0000 0.0000 x2
Pt 0.0000 0.2461 0.6421 x4
Pt 0.0000 0.5000 0.9948 x2



Entry 4:
A plane-wave DFT calculation with PBEsol was carried out for Tl3Pt after structural relaxation.

Values from the calculation:
Total moment: 0.00 Bohr magnetons per cell
Mass density: 13.10 g/cm³
Distance to the lowest polymorph of the same formula: 34 meV per atom
Energy relative to the elements: 0.0607 eV/atom

Cell: 3.8038 3.8038 24.5230 Å, 90.00 90.00 120.00°
Space group R-3m (No. 166, hexagonal axes)
Unique sites:
Tl 0.0000 0.0000 0.0000 x3
Tl 0.0000 0.0000 0.2342 x6
Pt 0.0000 0.0000 0.5000 x3



Entry 5:
A plane-wave DFT calculation with PBEsol was carried out for Tl2Pt3 after structural relaxation.

Values from the calculation:
Total moment: 0.00 Bohr magnetons per cell
Mass density: 17.26 g/cm³
Energy relative to the elements: -0.1097 eV/atom

Cell: 5.6393 5.6393 13.8917 Å, 90.00 90.00 120.00°
Space group P6_3/mmc (No. 194)
Unique sites:
Tl 0.0000 0.0000 0.2500 x2
Tl 0.3333 0.6667 0.0941 x4
Tl 0.3333 0.6667 0.7500 x2
Pt 0.1662 0.3324 0.5855 x12



Entry 6:
A plane-wave DFT calculation with PBEsol was carried out for Y3TlPt after structural relaxation.

Values from the calculation:
Total moment: 0.00 Bohr magnetons per cell
Mass density: 7.26 g/cm³
Distance to the lowest polymorph of the same formula: 0 meV per atom
Energy relative to the elements: -0.4023 eV/atom

Cell: 5.3403 5.3403 5.3403 Å, 90.00 90.00 90.00°
Space group Pm-3m (No. 221)
Unique sites:
Y 0.0000 0.0000 0.5000 x3
Tl 0.5000 0.5000 0.5000 x1
Pt 0.0000 0.0000 0.0000 x1



Entry 7:
A plane-wave DFT calculation with PBEsol was carried out for TlZn2Pt after structural relaxation.

Values from the calculation:
Total moment: 0.00 Bohr magnetons per cell
Mass density: 13.48 g/cm³
Distance to the lowest polymorph of the same formula: 137 meV per atom
Energy relative to the elements: 0.0134 eV/atom

Cell: 4.1111 4.1111 3.8650 Å, 90.00 90.00 90.00°
Space group P4/mmm (No. 123)
Unique sites:
Tl 0.0000 0.0000 0.0000 x1
Zn 0.0000 0.5000 0.5000 x2
Pt 0.5000 0.5000 0.0000 x1



Entry 8:
A plane-wave DFT calculation with PBEsol was carried out for TlZn2Pt after structural relaxation.

Values from the calculation:
Total moment: 0.00 Bohr magnetons per cell
Mass density: 12.43 g/cm³
Distance to the lowest polymorph of the same formula: 0 meV per atom
Energy relative to the elements: -0.1240 eV/atom

Cell: 2.9260 3.3255 7.2845 Å, 90.00 91.25 90.00°
Space group P2/m (No. 10)
Unique sites:
Tl 0.0000 0.0000 0.0000 x1
Zn 0.4887 0.5000 0.3083 x2
Pt 0.0000 0.0000 0.5000 x1



Entry 9:
A plane-wave DFT calculation with PBEsol was carried out for TlZn2Pt after structural relaxation.

Values from the calculation:
Total moment: 0.00 Bohr magnetons per cell
Mass density: 13.17 g/cm³
Distance to the lowest polymorph of the same formula: 198 meV per atom
Energy relative to the elements: 0.0739 eV/atom

Cell: 6.4429 6.4429 6.4429 Å, 90.00 90.00 90.00°
Space group F-43m (No. 216)
Unique sites:
Tl 0.0000 0.0000 0.0000 x4
Zn 0.0000 0.0000 0.5000 x4
Zn 0.2500 0.2500 0.2500 x4
Pt 0.2500 0.2500 0.7500 x4



Entry 10:
A plane-wave DFT calculation with PBEsol was carried out for TlZn2Pt after structural relaxation.

Values from the calculation:
Total moment: 0.00 Bohr magnetons per cell
Mass density: 12.71 g/cm³
Distance to the lowest polymorph of the same formula: 188 meV per atom
Energy relative to the elements: 0.0641 eV/atom

Cell: 3.0323 3.0323 26.1004 Å, 90.00 90.00 120.00°
Space group R3m (No. 160, hexagonal axes)
Unique sites:
Tl 0.0000 0.0000 0.0000 x3
Zn 0.0000 0.0000 0.5040 x3
Zn 0.0000 0.0000 0.7618 x3
Pt 0.0000 0.0000 0.2429 x3



Entry 11:
A plane-wave DFT calculation with PBEsol was carried out for Tl3ZnPt after structural relaxation.

Values from the calculation:
Total moment: 0.00 Bohr magnetons per cell
Mass density: 11.19 g/cm³
Energy relative to the elements: 0.6638 eV/atom

Cell: 5.0610 5.0610 5.0610 Å, 90.00 90.00 90.00°
Space group Pm-3m (No. 221)
Unique sites:
Tl 0.0000 0.0000 0.5000 x3
Zn 0.0000 0.0000 0.0000 x1
Pt 0.5000 0.5000 0.5000 x1



Entry 12:
A plane-wave DFT calculation with PBEsol was carried out for TlZn2Pt after structural relaxation.

Values from the calculation:
Total moment: 0.00 Bohr magnetons per cell
Mass density: 13.11 g/cm³
Distance to the lowest polymorph of the same formula: 62 meV per atom
Energy relative to the elements: -0.0619 eV/atom

Cell: 3.4580 3.4580 5.6150 Å, 90.00 90.00 90.00°
Space group P4mm (No. 99)
Unique sites:
Tl 0.0000 0.0000 0.0000 x1
Zn 0.0000 0.0000 0.5123 x1
Zn 0.5000 0.5000 0.2653 x1
Pt 0.5000 0.5000 0.7114 x1



Entry 13:
A plane-wave DFT calculation with PBEsol was carried out for Tm2Pt after structural relaxation.

Values from the calculation:
Total moment: 0.00 Bohr magnetons per cell
Mass density: 12.87 g/cm³
Energy relative to the elements: -0.9771 eV/atom

Cell: 6.9316 4.6350 8.5615 Å, 90.00 90.00 90.00°
Space group Pnma (No. 62)
Unique sites:
Tm 0.0106 0.2500 0.1699 x4
Tm 0.1458 0.2500 0.5790 x4
Pt 0.2408 0.2500 0.9052 x4



Entry 14:
A plane-wave DFT calculation with PBEsol was carried out for TmPt3 after structural relaxation.

Values from the calculation:
Total moment: 0.00 Bohr magnetons per cell
Mass density: 19.15 g/cm³
Energy relative to the elements: -1.0771 eV/atom

Cell: 4.0286 4.0286 4.0286 Å, 90.00 90.00 90.00°
Space group Pm-3m (No. 221)
Unique sites:
Tm 0.0000 0.0000 0.0000 x1
Pt 0.0000 0.5000 0.5000 x3